Here is Hg3Mo after structural relaxation from Alexandria via LeMat-Bulk. Energies are from GGA-PBE.

E above lowest polymorph   0.186 eV/atom
Calculated volume   84.4 Å³ per cell
Energy of formation   495 meV/atom
Space group   P4/mmm, No. 123
Crystal system   tetragonal

a = 2.9356 Å, b = 2.9356 Å, c = 9.7889 Å
α = 90.00°, β = 90.00°, γ = 90.00°
Last column: nearest neighbours and their distance in Å.
Sites, in units of the cell vectors:
Hg 0.0000 0.0000 0.0000  4 Hg 2.94
Hg 0.5000 0.5000 0.2807  4 Hg 2.94, 4 Mo 2.99
Hg 0.5000 0.5000 0.7193  4 Hg 2.94, 4 Mo 2.99
Mo 0.0000 0.0000 0.5000  4 Mo 2.94, 8 Hg 2.99



Here is Hg2Mo after structural relaxation from Alexandria via LeMat-Bulk. Energies are from GGA-PBE.

E above lowest polymorph   0.168 eV/atom
Calculated volume   127.6 Å³ per cell
Energy of formation   441 meV/atom
Space group   Cm, No. 8
Crystal system   monoclinic

a = 5.7478 Å, b = 5.7478 Å, c = 7.4832 Å
α = 103.67°, β = 103.67°, γ = 32.16°
Last column: nearest neighbours and their distance in Å.
Sites, in units of the cell vectors:
Hg 0.0000 0.0000 0.0000  2 Mo 3.10, 8 Hg 3.10-3.18
Hg 0.0149 0.0149 0.4197  5 Mo 2.97-3.13, 7 Hg 3.10-3.30
Hg 0.2902 0.2902 0.1226  2 Mo 2.95, 7 Hg 3.11-3.18
Hg 0.6555 0.6555 0.7693  4 Mo 2.93-3.12, 8 Hg 3.13-3.18
Mo 0.3640 0.3640 0.6540  2 Mo 2.42
Mo 0.7482 0.7482 0.4338  2 Mo 2.42



Here is Hg2Mo after structural relaxation from Alexandria via LeMat-Bulk. Energies are from GGA-PBE.

E above lowest polymorph   0.099 eV/atom
Calculated volume   131.9 Å³ per cell
Energy of formation   372 meV/atom
Space group   Cmcm, No. 63
Crystal system   orthorhombic

a = 9.0241 Å, b = 9.0241 Å, c = 3.0952 Å
α = 90.00°, β = 90.00°, γ = 148.45°
Last column: nearest neighbours and their distance in Å.
Sites, in units of the cell vectors:
Hg 0.0837 0.9163 0.7500  4 Mo 2.95, 6 Hg 3.10-3.29
Hg 0.2936 0.7064 0.2500  2 Mo 3.08, 8 Hg 3.10-3.27
Hg 0.7064 0.2936 0.7500  2 Mo 3.08, 8 Hg 3.10-3.27
Hg 0.9163 0.0837 0.2500  4 Mo 2.95, 6 Hg 3.10-3.29
Mo 0.4466 0.5534 0.7500  2 Mo 2.42
Mo 0.5534 0.4466 0.2500  2 Mo 2.42



Here is HgMo after structural relaxation from Alexandria via LeMat-Bulk. Energies are from GGA-PBE.

E above lowest polymorph   1.938 eV/atom
Calculated volume   409.5 Å³ per cell
Energy of formation   2357 meV/atom
Space group   Pm-3n, No. 223
Crystal system   cubic

a = 7.4259 Å, b = 7.4259 Å, c = 7.4259 Å
α = 90.00°, β = 90.00°, γ = 90.00°
Last column: nearest neighbours and their distance in Å.
Sites, in units of the cell vectors:
Hg 0.0000 0.2500 0.5000  4 Mo 2.63
Hg 0.0000 0.7500 0.5000  4 Mo 2.63
Hg 0.2500 0.5000 0.0000  4 Mo 2.63
Hg 0.5000 0.0000 0.2500  4 Mo 2.63
Hg 0.5000 0.0000 0.7500  4 Mo 2.63
Hg 0.7500 0.5000 0.0000  4 Mo 2.63
Mo 0.0000 0.5000 0.2500  4 Hg 2.63
Mo 0.0000 0.5000 0.7500  4 Hg 2.63
Mo 0.2500 0.0000 0.5000  4 Hg 2.63
Mo 0.5000 0.2500 0.0000  4 Hg 2.63
Mo 0.5000 0.7500 0.0000  4 Hg 2.63
Mo 0.7500 0.0000 0.5000  4 Hg 2.63



Here is HgMo5 after structural relaxation from Alexandria via LeMat-Bulk. Energies are from GGA-PBE.

E above lowest polymorph   0.000 eV/atom
Calculated volume   102.1 Å³ per cell
Energy of formation   385 meV/atom
Space group   F-43m, No. 216
Crystal system   cubic

a = 5.2459 Å, b = 5.2459 Å, c = 5.2459 Å
α = 60.00°, β = 60.00°, γ = 60.00°
Last column: nearest neighbours and their distance in Å.
Sites, in units of the cell vectors:
Hg 0.0000 0.0000 0.0000  16 Mo 3.07-3.21
Mo 0.3745 0.3745 0.3745  6 Mo 2.61-2.63
Mo 0.3745 0.3745 0.8766  6 Mo 2.61-2.63
Mo 0.3745 0.8766 0.3745  6 Mo 2.61-2.63
Mo 0.7500 0.7500 0.7500  12 Mo 3.08, 4 Hg 3.21
Mo 0.8766 0.3745 0.3745  6 Mo 2.61-2.63



Here is Hg2Mo after structural relaxation from Alexandria via LeMat-Bulk. Energies are from GGA-PBE.

E above lowest polymorph   0.133 eV/atom
Calculated volume   126.4 Å³ per cell
Energy of formation   406 meV/atom
Space group   C2/m, No. 12
Crystal system   monoclinic

a = 5.5756 Å, b = 5.5756 Å, c = 8.2581 Å
α = 114.10°, β = 114.10°, γ = 32.95°
Last column: nearest neighbours and their distance in Å.
Sites, in units of the cell vectors:
Hg 0.0220 0.0220 0.2173  5 Mo 2.97-3.13, 7 Hg 3.09-3.31
Hg 0.3418 0.3418 0.3999  2 Mo 2.99, 8 Hg 3.07-3.31
Hg 0.6582 0.6582 0.6001  2 Mo 2.99, 8 Hg 3.07-3.31
Hg 0.9780 0.9780 0.7827  5 Mo 2.97-3.13, 7 Hg 3.09-3.31
Mo 0.3010 0.3010 0.9358  2 Mo 2.41
Mo 0.6990 0.6990 0.0642  2 Mo 2.41



Here is Hg3Mo after structural relaxation from Alexandria via LeMat-Bulk. Energies are from GGA-PBE.

E above lowest polymorph   0.283 eV/atom
Calculated volume   81.8 Å³ per cell
Energy of formation   591 meV/atom
Space group   C2/m, No. 12
Crystal system   monoclinic

a = 5.4265 Å, b = 5.4265 Å, c = 5.4007 Å
α = 102.37°, β = 102.37°, γ = 31.84°
Last column: nearest neighbours and their distance in Å.
Sites, in units of the cell vectors:
Hg 0.0000 0.0000 0.0000  8 Hg 2.98-3.16, 4 Mo 3.08
Hg 0.2389 0.2389 0.7338  3 Mo 2.94-3.25, 9 Hg 2.98-3.20
Hg 0.7611 0.7611 0.2662  3 Mo 2.94-3.25, 9 Hg 2.98-3.20
Mo 0.5000 0.5000 0.5000  10 Hg 2.94-3.25, 2 Mo 2.98



Here is Hg3Mo after structural relaxation from Alexandria via LeMat-Bulk. Energies are from GGA-PBE.

E above lowest polymorph   0.235 eV/atom
Calculated volume   93.9 Å³ per cell
Energy of formation   543 meV/atom
Space group   Immm, No. 71
Crystal system   orthorhombic

a = 7.0972 Å, b = 7.0972 Å, c = 7.0972 Å
α = 156.33°, β = 138.96°, γ = 47.92°
Last column: nearest neighbours and their distance in Å.
Sites, in units of the cell vectors:
Hg 0.0000 0.0000 0.0000  4 Mo 2.88, 2 Hg 2.91
Hg 0.3074 0.8074 0.5000  2 Mo 2.89, 2 Hg 2.91
Hg 0.6926 0.1926 0.5000  2 Mo 2.89, 2 Hg 2.91
Mo 0.5000 0.5000 0.0000  8 Hg 2.88-2.89, 2 Mo 2.91